Entry 1:
An optimized crystal structure of CaYPb. Source: Alexandria, functional GGA-PBE.

The structure belongs to space group F-43m (No. 216); the cell edges are 7.445, 7.445 and 7.445 Å and the angles 90.00°, 90.00° and 90.00°. Symmetry generates all atoms from Ca at (0.000, 0.000, 0.000), Y at (0.000, 0.000, 0.500) and Pb at (0.250, 0.250, 0.750).

The calculation puts the energy of formation from the pure elements at -0.986 eV/f.u. The calculation puts the raw total energy at -52.64 eV per cell.

=====

Entry 2:
An optimized crystal structure of CaY2Pb. Source: Alexandria, functional GGA-PBE.

The structure belongs to space group P4mm (No. 99); the cell edges are 3.697, 3.697 and 9.444 Å and the angles 90.00°, 90.00° and 90.00°. Symmetry generates all atoms from Ca at (0.000, 0.000, 0.000), Y at (0.000, 0.000, 0.450), Y at (0.500, 0.500, 0.705) and Pb at (0.500, 0.500, 0.227).

The calculation puts the energy of formation from the pure elements at -0.926 eV/f.u. The calculation puts the raw total energy at -19.56 eV per cell.

=====

Entry 3:
An optimized crystal structure of Ca3YPb12. Source: Alexandria, functional GGA-PBE.

The structure belongs to space group P4/mmm (No. 123); the cell edges are 4.911, 4.911 and 19.843 Å and the angles 90.00°, 90.00° and 90.00°. Symmetry generates all atoms from Ca at (0.000, 0.000, 0.000), Ca at (0.000, 0.000, 0.252), Y at (0.000, 0.000, 0.500), Pb at (0.000, 0.500, 0.125), Pb at (0.000, 0.500, 0.376), Pb at (0.500, 0.500, 0.000), Pb at (0.500, 0.500, 0.250) and Pb at (0.500, 0.500, 0.500).

The calculation puts the energy of formation from the pure elements at -4.982 eV/f.u. The calculation puts the raw total energy at -61.95 eV per cell.

=====

- Which value of raw total energy does entry 1 give?
  -52.64 eV per cell